First-principles (GGA-PBE) data for crystalline Ta3Mo5 at its relaxed geometry, as listed in the Alexandria database.

a = 4.545 Å, b = 4.545 Å, c = 12.854 Å
α = 90.00°, β = 90.00°, γ = 90.00°
Space group I4/mmm (No. 139)
Unique sites:
Ta  0.000  0.000  0.000 (multiplicity 2)
Ta  0.000  0.000  0.249 (multiplicity 4)
Mo  0.000  0.000  0.500 (multiplicity 2)
Mo  0.000  0.500  0.124 (multiplicity 8)

Properties
DFT formation energy, eV per atom: -0.18

First-principles (GGA-PBE) data for crystalline Ta3Mo5 at its relaxed geometry, as listed in the Alexandria database.

a = 7.7388 Å, b = 7.7388 Å, c = 5.3443 Å
α = 90.00°, β = 90.00°, γ = 120.00°
Space group P6_3/mcm (No. 193)
Unique sites:
Ta  0.0000  0.3937  0.2500 (multiplicity 6)
Mo  0.0000  0.2250  0.7500 (multiplicity 6)
Mo  0.3333  0.6667  0.0000 (multiplicity 4)

Properties
DFT formation energy, eV per atom: 0.27

E (computed, eV per atom): -11.390, -10.942